Entry w
Density functional theory data (PBE) for Sm4Tm2Sc after structural relaxation.

Cell: 6.113 6.554 11.370 Å, 90.00 105.05 90.00°
Positions (direct):
1 Sm 0.642 0.510 0.284
2 Sm 0.642 0.990 0.284
3 Sm 0.358 0.490 0.716
4 Sm 0.152 0.750 0.445
5 Sm 0.953 0.250 0.128
6 Sm 0.358 0.010 0.716
7 Sm 0.047 0.750 0.872
8 Sm 0.848 0.250 0.555
9 Tm 0.614 0.750 0.998
10 Tm 0.386 0.250 0.002
11 Tm 0.720 0.750 0.581
12 Tm 0.280 0.250 0.419
13 Sc 0.852 0.250 0.835
14 Sc 0.148 0.750 0.165

Entry x
Density functional theory data (PBE) for Sm4Tm2Sc after structural relaxation.

Cell: 12.292 12.292 6.668 Å, 97.04 97.04 150.12°
Positions (direct):
1 Sm 0.705 0.168 0.855
2 Sm 0.600 0.564 0.646
3 Sm 0.564 0.600 0.146
4 Sm 0.152 0.041 0.104
5 Sm 0.187 0.798 0.896
6 Sm 0.168 0.705 0.355
7 Sm 0.041 0.152 0.604
8 Sm 0.798 0.187 0.396
9 Sc 0.672 0.422 0.000
10 Sc 0.422 0.672 0.500
11 Tm 0.921 0.103 0.048
12 Tm 0.623 0.305 0.452
13 Tm 0.103 0.921 0.548
14 Tm 0.305 0.623 0.952

Relative calculated energies, zero for the most stable structure, unit eV/atom: entry w 0.072; entry x 0.000.